[1]
# Er5ZrCd6

A relaxed Er5ZrCd6 crystal (PBE, Alexandria via LeMat-Bulk).

Summary:
**Energy relative to the elements**: -0.26 eV/atom
**Magnetic moment**: 1.46 μB/cell

a = 5.189 Å, b = 7.376 Å, c = 8.222 Å
α = 90.00°, β = 71.61°, γ = 90.00°
Element x y z (fractional)
1 Cd 0.836 0.755 0.329
2 Cd 0.836 0.245 0.329
3 Cd 0.500 0.248 0.000
4 Cd 0.500 0.752 0.000
5 Cd 0.164 0.755 0.671
6 Cd 0.164 0.245 0.671
7 Zr 0.000 0.000 0.000
8 Er 0.668 0.500 0.663
9 Er 0.336 0.000 0.329
10 Er 0.000 0.500 0.000
11 Er 0.664 0.000 0.671
12 Er 0.332 0.500 0.337

[2]
# Ba2TiO4

A relaxed Ba2TiO4 crystal (PBE, Alexandria via LeMat-Bulk).

Summary:
**Total DFT energy (no corrections)**: -0.5405 Ry/atom
**Magnetic moment**: 0.00 μB/cell

a = 3.986 Å, b = 3.986 Å, c = 9.544 Å
α = 90.00°, β = 90.00°, γ = 90.00°
Element x y z (fractional)
1 Ba 0.000 0.000 0.707
2 Ba 0.000 0.000 0.293
3 Ti 0.500 0.500 0.500
4 O 0.000 0.500 0.500
5 O 0.500 0.500 0.708
6 O 0.500 0.500 0.292
7 O 0.500 0.000 0.500

[3]
# NbCrBr2

A relaxed NbCrBr2 crystal (PBE, Alexandria via LeMat-Bulk).

Summary:
**Total DFT energy (no corrections)**: -0.3542 Ry/atom
**Magnetic moment**: 0.01 μB/cell

a = 5.909 Å, b = 5.909 Å, c = 6.601 Å
α = 63.41°, β = 63.41°, γ = 90.00°
Element x y z (fractional)
1 Cr 0.500 0.500 0.000
2 Cr 0.250 0.750 0.500
3 Nb 0.000 0.000 0.000
4 Nb 0.750 0.250 0.500
5 Br 0.592 0.125 0.250
6 Br 0.158 0.625 0.250
7 Br 0.375 0.408 0.750
8 Br 0.875 0.842 0.750

[4]
# TbErCdAu

A relaxed TbErCdAu crystal (PBE, Alexandria via LeMat-Bulk).

Summary:
**Energy relative to the elements**: -0.56 eV/atom
**Magnetic moment**: 0.00 μB/cell

a = 5.173 Å, b = 5.173 Å, c = 5.173 Å
α = 60.00°, β = 60.00°, γ = 60.00°
Element x y z (fractional)
1 Tb 0.750 0.750 0.750
2 Cd 0.500 0.500 0.500
3 Au 0.000 0.000 0.000
4 Er 0.250 0.250 0.250

[5]
# Na5Pa3Se8

A relaxed Na5Pa3Se8 crystal (PBE, Alexandria via LeMat-Bulk).

Summary:
**Total DFT energy (no corrections)**: -0.3847 Ry/atom
**Magnetic moment**: 4.01 μB/cell

a = 8.361 Å, b = 8.361 Å, c = 8.515 Å
α = 60.60°, β = 60.60°, γ = 60.00°
Element x y z (fractional)
1 Na 0.500 0.000 0.000
2 Na 0.500 0.500 0.000
3 Na 0.000 0.000 0.000
4 Na 0.000 0.500 0.000
5 Na 0.500 0.500 0.500
6 Pa 0.500 0.000 0.500
7 Pa 0.000 0.000 0.500
8 Pa 0.000 0.500 0.500
9 Se 0.250 0.250 0.732
10 Se 0.250 0.767 0.732
11 Se 0.767 0.250 0.732
12 Se 0.755 0.755 0.734
13 Se 0.750 0.750 0.268
14 Se 0.750 0.233 0.268
15 Se 0.233 0.750 0.268
16 Se 0.245 0.245 0.266